# LaTbTeO2

A relaxed LaTbTeO2 crystal (PBE, the Open Quantum Materials Database).

The structure in extended XYZ format:
```
5
Lattice="0.236 -6.851 1.360 -4.974 -4.906 0.181 2.794 5.346 -3.530" Properties=species:S:1:pos:R:3 pbc="T T T"
La -3.111 -7.720 1.011
Tb -1.596 -3.961 0.519
O 0.308 -3.748 -0.693
O -2.297 -2.776 -1.282
Te -4.723 -11.721 1.536
```

Results
Total magnetization   0.001 μB/f.u.
Space-group type   I4mm
Raw total energy   -7.5020 eV per atom